Here is a relaxed structure of ZrInHg2 from Alexandria via LeMat-Bulk. Energies are from PBE-GGA.

Unit cell a=4.7782 b=3.1486 c=6.1014 alpha=91.23 beta=90.00 gamma=90.00
Sites, in units of the cell vectors:
In  0.0000  0.2361  0.5149
Hg  0.0000  0.2692  0.9847
Zr  0.5000  0.7497  0.7530
Hg  0.5000  0.2450  0.2474

Its total magnetization is 0.0 μB per formula unit. Its formation energy is -3 kJ per mole of atoms.


Here is a relaxed structure of ZrInHg2 from Alexandria via LeMat-Bulk. Energies are from PBE-GGA.

Unit cell a=4.8490 b=3.1166 c=6.0535 alpha=90.01 beta=90.00 gamma=90.00
Sites, in units of the cell vectors:
Zr  0.5000  0.7500  0.7500
In  0.5000  0.2500  0.2500
Hg  0.0000  0.2510  0.5151
Hg  0.0000  0.2490  0.9849

Its total magnetization is 0.0 μB per formula unit. Its formation energy is -4 kJ per mole of atoms.


Here is a relaxed structure of Zr5InHg2 from Alexandria via LeMat-Bulk. Energies are from PBE-GGA.

Unit cell a=4.4578 b=4.4578 c=9.4208 alpha=103.69 beta=103.69 gamma=90.00
Sites, in units of the cell vectors:
Hg  0.2492  0.2492  0.4984
Zr  0.5000  0.5000  0.0000
Hg  0.7508  0.7508  0.5016
Zr  0.6263  0.1263  0.2526
In  0.0000  0.0000  0.0000
Zr  0.8737  0.3737  0.7474
Zr  0.3737  0.8737  0.7474
Zr  0.1263  0.6263  0.2526

Its total magnetization is 0.0 μB per formula unit. Its formation energy is -21 kJ per mole of atoms.


Here is a relaxed structure of Zr2InHg from Alexandria via LeMat-Bulk. Energies are from PBE-GGA.

Unit cell a=5.7271 b=5.7271 c=5.7271 alpha=136.16 beta=136.16 gamma=63.73
Sites, in units of the cell vectors:
In  0.7500  0.2500  0.5000
Hg  0.5000  0.5000  0.0000
Zr  0.2500  0.7500  0.5000
Zr  0.0000  0.0000  0.0000

Its total magnetization is 0.0 μB per formula unit. Its formation energy is -17 kJ per mole of atoms.